Here is a relaxed structure of BeAlSi from the Alexandria database. Energies are from PBEsol.

abc: 4.044 4.044 4.044
angles: 60.00 60.00 60.00
Positions (direct):
Al  0.250  0.250  0.250
Si  0.500  0.500  0.500
Be  0.000  0.000  0.000

Properties
* symmetry: F-43m (216)
* formation energy (no corrections): 0.46 eV/atom
* calculated total energy: -0.153 hartree per atom

---

Here is a relaxed structure of YCd2Co2 from the Alexandria database. Energies are from PBEsol.

abc: 3.803 3.803 6.877
angles: 106.05 106.05 90.00
Site moments in Bohr magnetons follow the coordinates.
Positions (direct):
Cd  0.388  0.388  0.775  -0.03
Cd  0.612  0.612  0.225  -0.03
Co  0.250  0.750  0.500  1.52
Co  0.750  0.250  0.500  1.52
Y  0.000  0.000  0.000  -0.10

Properties
* symmetry: I4/mmm (139)
* calculated total energy: -0.172 hartree per atom
* energy of formation: 0.25 eV per atom